First-principles (PBE) data for crystalline Sc2MnRe at its relaxed geometry, as listed in Alexandria.

Computed properties:
The value obtained for the total magnetization is 2.3 μB/cell. For the formation energy, the calculation gives 0.717 eV/f.u. The calculation puts the uncorrected energy at -8.391 eV per atom.

abc: 2.9011 2.9011 8.7263
angles: 90.00 90.00 108.75
Last column: nearest neighbours and their distance in Å.
Fractional positions:
Sc  0.0000  0.0000  0.2487  2 Re 2.75, 2 Mn 2.77, 4 Sc 2.90
Sc  0.0000  0.0000  0.7513  2 Re 2.75, 2 Mn 2.77, 4 Sc 2.90
Mn  0.5000  0.5000  0.5000  4 Sc 2.77, 4 Mn 2.90
Re  0.5000  0.5000  0.0000  4 Sc 2.75, 4 Re 2.90